No. 1
## YAsRuSe2 (PBE)

Data for a relaxed YAsRuSe2 crystal.

CIF file:
```
data_YAsRuSe2
_symmetry_space_group_name_H-M 'P 4/m m m'
_symmetry_Int_Tables_number 123
_symmetry_space_group_name_Hall '-P 4 2'
_cell_length_a 5.1087
_cell_length_b 5.1087
_cell_length_c 4.4996
_cell_angle_alpha 90.00
_cell_angle_beta 90.00
_cell_angle_gamma 90.00
loop_
_atom_site_label
_atom_site_fract_x
_atom_site_fract_y
_atom_site_fract_z
_atom_site_occupancy
Y1 0.0000 0.0000 0.0000 1
As1 0.5000 0.5000 0.0000 1
Ru1 0.5000 0.5000 0.5000 1
Se1 0.0000 0.5000 0.5000 1
```

**M_tot**: 0.00 Bohr magnetons per cell
**Calculated volume**: 23.49 Å³/atom
**D(E_F)**: 0.624 states/eV/atom
**Formation energy from raw total energies**: -0.279 eV per atom


No. 2
## ZnAsRuSe2 (PBE)

Data for a relaxed ZnAsRuSe2 crystal.

CIF file:
```
data_ZnAsRuSe2
_symmetry_space_group_name_H-M 'P 4/m m m'
_symmetry_Int_Tables_number 123
_symmetry_space_group_name_Hall '-P 4 2'
_cell_length_a 4.8005
_cell_length_b 4.8005
_cell_length_c 4.6242
_cell_angle_alpha 90.00
_cell_angle_beta 90.00
_cell_angle_gamma 90.00
loop_
_atom_site_label
_atom_site_fract_x
_atom_site_fract_y
_atom_site_fract_z
_atom_site_occupancy
Zn1 0.0000 0.0000 0.0000 1
As1 0.0000 0.0000 0.5000 1
Ru1 0.5000 0.5000 0.5000 1
Se1 0.0000 0.5000 0.0000 1
```

**M_tot**: 0.00 Bohr magnetons per cell
**Calculated volume**: 21.31 Å³/atom
**D(E_F)**: 0.933 states/eV/atom
**Formation energy from raw total energies**: 1.106 eV per atom


No. 3
## ZnAs2RuSe (PBE)

Data for a relaxed ZnAs2RuSe crystal.

CIF file:
```
data_ZnAs2RuSe
_symmetry_space_group_name_H-M 'P 4/m m m'
_symmetry_Int_Tables_number 123
_symmetry_space_group_name_Hall '-P 4 2'
_cell_length_a 4.6910
_cell_length_b 4.6910
_cell_length_c 4.8640
_cell_angle_alpha 90.00
_cell_angle_beta 90.00
_cell_angle_gamma 90.00
loop_
_atom_site_label
_atom_site_fract_x
_atom_site_fract_y
_atom_site_fract_z
_atom_site_occupancy
Zn1 0.0000 0.0000 0.0000 1
As1 0.0000 0.5000 0.0000 1
Ru1 0.5000 0.5000 0.5000 1
Se1 0.0000 0.0000 0.5000 1
```

**M_tot**: 1.40 Bohr magnetons per cell
**Calculated volume**: 21.41 Å³/atom
**D(E_F)**: 1.197 states/eV/atom
**Formation energy from raw total energies**: 1.155 eV per atom


No. 4
## ZnAs2RuSe (PBE)

Data for a relaxed ZnAs2RuSe crystal.

CIF file:
```
data_ZnAs2RuSe
_symmetry_space_group_name_H-M 'P 4/m m m'
_symmetry_Int_Tables_number 123
_symmetry_space_group_name_Hall '-P 4 2'
_cell_length_a 4.6262
_cell_length_b 4.6262
_cell_length_c 5.4953
_cell_angle_alpha 90.00
_cell_angle_beta 90.00
_cell_angle_gamma 90.00
loop_
_atom_site_label
_atom_site_fract_x
_atom_site_fract_y
_atom_site_fract_z
_atom_site_occupancy
Zn1 0.0000 0.0000 0.0000 1
As1 0.0000 0.5000 0.5000 1
Ru1 0.5000 0.5000 0.5000 1
Se1 0.5000 0.5000 0.0000 1
```

**M_tot**: 0.00 Bohr magnetons per cell
**Calculated volume**: 23.52 Å³/atom
**D(E_F)**: 0.603 states/eV/atom
**Formation energy from raw total energies**: 0.455 eV per atom


> What is the formation energy from raw total energies in the third record?

1.155 eV per atom